A plane-wave DFT calculation with PBE-GGA was carried out for an optimized crystal structure of ScCr2Mo.

abc: 2.7181 2.7181 8.6243
angles: 90.00 90.00 110.03
Last column: nearest neighbours and their distance in Å.
Sites, in units of the cell vectors:
Sc 0.5000 0.5000 0.7500  4 Sc 2.72, 4 Cr 2.78
Cr 0.0000 0.0000 0.0171  2 Mo 2.54, 4 Cr 2.72, 2 Sc 2.78
Mo 0.5000 0.5000 0.2500  4 Cr 2.54, 4 Mo 2.72
Cr 0.0000 0.0000 0.4829  2 Mo 2.54, 4 Cr 2.72, 2 Sc 2.78

Calculated values
* E_tot: -8.780 eV per atom
* ΔE to the lowest computed polymorph: 0.520 eV/f.u.
* magnetic moment: 0.000 μB per formula unit
* energy of formation from the pure elements: 31.1 kJ/mol of atoms
* SG: No. 65


A plane-wave DFT calculation with PBE-GGA was carried out for an optimized crystal structure of YTa3Tl.

abc: 5.1464 5.1464 5.1464
angles: 90.00 90.00 90.00
Last column: nearest neighbours and their distance in Å.
Sites, in units of the cell vectors:
Tl 0.0000 0.0000 0.0000  6 Ta 2.57
Y 0.5000 0.5000 0.5000  12 Ta 3.64
Ta 0.0000 0.0000 0.5000  2 Tl 2.57
Ta 0.0000 0.5000 0.0000  2 Tl 2.57
Ta 0.5000 0.0000 0.0000  2 Tl 2.57

Calculated values
* E_tot: -6.966 eV per atom
* ΔE to the lowest computed polymorph: 0.000 eV/f.u.
* magnetic moment: 0.000 μB per formula unit
* energy of formation from the pure elements: 184.4 kJ/mol of atoms
* SG: No. 221


A plane-wave DFT calculation with PBE-GGA was carried out for an optimized crystal structure of Zr2TiPtC.

abc: 4.5082 4.5082 4.1477
angles: 90.00 90.00 90.00
Last column: nearest neighbours and their distance in Å.
Sites, in units of the cell vectors:
Zr 0.0000 0.5000 0.0000  2 C 2.25
Ti 0.0000 0.0000 0.5000  2 C 2.07
C 0.0000 0.0000 0.0000  2 Ti 2.07, 4 Zr 2.25
Pt 0.5000 0.5000 0.5000  8 Zr 3.06, 4 Ti 3.19
Zr 0.5000 0.0000 0.0000  2 C 2.25

Calculated values
* E_tot: -8.736 eV per atom
* magnetic moment: 0.000 μB per formula unit
* energy of formation from the pure elements: -66.1 kJ/mol of atoms
* SG: No. 123


A plane-wave DFT calculation with PBE-GGA was carried out for an optimized crystal structure of Ac4PrSm6.

abc: 9.6891 9.6891 9.6891
angles: 63.86 136.08 136.08
Last column: nearest neighbours and their distance in Å.
Sites, in units of the cell vectors:
Sm 0.6706 0.2360 0.2360  3 Sm 3.16-3.38
Ac 0.6076 0.9846 0.9846  1 Pr 3.59, 5 Sm 3.63-3.96
Ac 0.0000 0.6230 0.0154  1 Pr 3.59, 5 Sm 3.63-3.96
Ac 0.0000 0.0154 0.6230  1 Pr 3.59, 5 Sm 3.63-3.96
Pr 0.0000 0.0000 0.0000  4 Ac 3.59, 8 Sm 3.62-3.80
Sm 0.5000 0.0000 0.5000  4 Sm 3.16
Sm 0.3294 0.5654 0.5654  3 Sm 3.16-3.38
Sm 0.0000 0.7640 0.4346  3 Sm 3.16-3.38
Sm 0.5000 0.5000 0.0000  4 Sm 3.16
Sm 0.0000 0.4346 0.7640  3 Sm 3.16-3.38
Ac 0.3924 0.3770 0.3770  1 Pr 3.59, 5 Sm 3.63-3.96

Calculated values
* E_tot: -4.241 eV per atom
* magnetic moment: 0.000 μB per formula unit
* energy of formation from the pure elements: 25.3 kJ/mol of atoms
* SG: No. 121